(1)
Ni3Rh8 | PBE | relaxed

```
data_Ni3Rh8
_cell_length_a 8.416
_cell_length_b 3.785
_cell_length_c 9.649
_cell_angle_alpha 90.00
_cell_angle_beta 105.86
_cell_angle_gamma 90.00
_space_group_name_H-M_alt 'C 1 2/m 1'
_space_group_IT_number 12
loop_
_space_group_symop_operation_xyz
'x,y,z'
'-x,-y,-z'
'-x,y,-z'
'x,-y,z'
'x+1/2,y+1/2,z'
'-x+1/2,-y+1/2,-z'
'-x+1/2,y+1/2,-z'
'x+1/2,-y+1/2,z'
loop_
_atom_site_label
_atom_site_type_symbol
_atom_site_fract_x
_atom_site_fract_y
_atom_site_fract_z
_atom_site_occupancy
Ni1 Ni 0.000 0.000 0.000 1
Ni2 Ni 0.048 0.500 0.821 1
Rh1 Rh 0.094 0.000 0.641 1
Rh2 Rh 0.135 0.500 0.453 1
Rh3 Rh 0.176 0.000 0.267 1
Rh4 Rh 0.223 0.500 0.087 1
```

Summary:
**V**: 295.7 Å³ per cell
**Spin magnetization**: 0.1126 μB per atom
**Formation enthalpy at 0 K**: 1.04 kcal/mol of atoms
**E_tot**: -6.8780 eV per atom

=====

(2)
Ni2Rh | PBE | relaxed

```
data_Ni2Rh
_cell_length_a 5.684
_cell_length_b 5.684
_cell_length_c 5.684
_cell_angle_alpha 90.00
_cell_angle_beta 90.00
_cell_angle_gamma 90.00
_space_group_name_H-M_alt 'P a -3'
_space_group_IT_number 205
_space_group_name_Hall '-P 2ac 2ab 3'
loop_
_atom_site_label
_atom_site_type_symbol
_atom_site_fract_x
_atom_site_fract_y
_atom_site_fract_z
_atom_site_occupancy
Ni1 Ni 0.115 0.115 0.115 1
Rh1 Rh 0.000 0.000 0.500 1
```

Summary:
**V**: 183.6 Å³ per cell
**Spin magnetization**: 0.7177 μB per atom
**Formation enthalpy at 0 K**: 19.71 kcal/mol of atoms
**E_tot**: -5.4501 eV per atom

=====

(3)
Ni7Rh | PBE | relaxed

```
data_Ni7Rh
_cell_length_a 7.156
_cell_length_b 7.156
_cell_length_c 7.156
_cell_angle_alpha 90.00
_cell_angle_beta 90.00
_cell_angle_gamma 90.00
_space_group_name_H-M_alt 'F m -3 m'
_space_group_IT_number 225
_space_group_name_Hall '-F 4 2 3'
loop_
_atom_site_label
_atom_site_type_symbol
_atom_site_fract_x
_atom_site_fract_y
_atom_site_fract_z
_atom_site_occupancy
Ni1 Ni 0.000 0.000 0.000 1
Ni2 Ni 0.000 0.250 0.250 1
Rh1 Rh 0.000 0.000 0.500 1
```

Summary:
**V**: 366.4 Å³ per cell
**Spin magnetization**: 0.7134 μB per atom
**Formation enthalpy at 0 K**: 0.64 kcal/mol of atoms
**E_tot**: -5.9497 eV per atom

=====

(4)
Ni4Rh5 | PBE | relaxed

```
data_Ni4Rh5
_cell_length_a 7.938
_cell_length_b 7.938
_cell_length_c 3.701
_cell_angle_alpha 90.00
_cell_angle_beta 90.00
_cell_angle_gamma 90.00
_space_group_name_H-M_alt 'I 4/m m m'
_space_group_IT_number 139
_space_group_name_Hall '-I 4 2'
loop_
_atom_site_label
_atom_site_type_symbol
_atom_site_fract_x
_atom_site_fract_y
_atom_site_fract_z
_atom_site_occupancy
Ni1 Ni 0.166 0.166 0.000 1
Rh1 Rh 0.000 0.000 0.500 1
Rh2 Rh 0.000 0.330 0.500 1
```

Summary:
**V**: 233.2 Å³ per cell
**Spin magnetization**: 0.5504 μB per atom
**Formation enthalpy at 0 K**: 1.21 kcal/mol of atoms
**E_tot**: -6.6012 eV per atom